No. 1
Computed, not measured: an optimized crystal structure of Li4Pr3USe8 at the PBE level of DFT.

Summary:
* E_form (uncorrected): -1522.0 meV per atom

abc: 8.3967 8.3967 19.6095
angles: 90.00 90.00 120.00
Closest atoms and distances in Å follow each position.
Space group R-3m (No. 166, hexagonal axes)
Unique sites:
Li 0.0000 0.0000 0.0000 x3  6 Se 2.94
Li 0.0000 0.5000 0.0000 x9  6 Se 2.86-2.87
Pr 0.0000 0.5000 0.5000 x9  6 Se 2.97-2.99
U 0.0000 0.0000 0.5000 x3  6 Se 2.91
Se 0.0000 0.0000 0.2546 x6  3 Li 2.87, 3 Pr 2.97
Se 0.0087 0.5044 0.2533 x18  3 Li 2.86-2.94, 1 U 2.91, 2 Pr 2.99


No. 2
Computed, not measured: an optimized crystal structure of Sr3Al3Au2 at the PBE level of DFT.

Summary:
* distance to the lowest polymorph of the same formula: 3.0 kJ per mole of atoms
* energy of formation: -353.0 kJ/mol of formula units

abc: 8.6368 16.0644 6.1420
angles: 90.00 90.00 90.00
Closest atoms and distances in Å follow each position.
Space group Pnma (No. 62)
Unique sites:
Sr 0.0418 0.1085 0.1183 x8  3 Au 3.33-3.36, 7 Al 3.36-3.65
Sr 0.1908 0.2500 0.6097 x4  5 Al 3.24-3.45, 4 Au 3.39-3.51
Al 0.1562 0.7500 0.5907 x4  2 Au 2.73
Al 0.1770 0.0370 0.6171 x8  3 Au 2.67-2.73
Au 0.1075 0.6020 0.3816 x8  4 Al 2.67-2.73


No. 3
Computed, not measured: an optimized crystal structure of TbCe2Nd at the PBE level of DFT.

Summary:
* distance to the lowest polymorph of the same formula: 1.3 kJ per mole of atoms
* energy of formation: 45.7 kJ/mol of formula units

abc: 3.4934 3.4934 10.2592
angles: 90.00 90.00 90.00
Closest atoms and distances in Å follow each position.
Space group P4/mmm (No. 123)
Unique sites:
Tb 0.0000 0.0000 0.0000 x1  4 Tb 3.49, 8 Ce 3.54
Ce 0.5000 0.5000 0.2470 x2  4 Ce 3.49, 4 Tb 3.54, 4 Nd 3.58
Nd 0.0000 0.0000 0.5000 x1  4 Nd 3.49, 8 Ce 3.58


No. 4
Computed, not measured: an optimized crystal structure of NiRh3N at the PBE level of DFT.

Summary:
* distance to the lowest polymorph of the same formula: 187.1 kJ per mole of atoms
* E_form (uncorrected): 2253.8 meV per atom

abc: 4.4843 4.4843 4.4843
angles: 90.00 90.00 90.00
Closest atoms and distances in Å follow each position.
Space group Pm-3m (No. 221)
Unique sites:
Ni 0.0000 0.0000 0.0000 x1  6 Rh 2.24
Rh 0.0000 0.0000 0.5000 x3  2 Ni 2.24
N 0.5000 0.5000 0.5000 x1  12 Rh 3.17


No. 5
Computed, not measured: an optimized crystal structure of MgSc3F at the PBE level of DFT.

Summary:
* distance to the lowest polymorph of the same formula: 0.0 kJ per mole of atoms
* E_form (uncorrected): -835.6 meV per atom

abc: 4.5966 4.5966 4.5966
angles: 90.00 90.00 90.00
Closest atoms and distances in Å follow each position.
Space group Pm-3m (No. 221)
Unique sites:
Mg 0.0000 0.0000 0.0000 x1  12 Sc 3.25
Sc 0.0000 0.5000 0.5000 x3  2 F 2.30
F 0.5000 0.5000 0.5000 x1  6 Sc 2.30


No. 6
Computed, not measured: an optimized crystal structure of Li2GaAg at the PBE level of DFT.

Summary:
* energy of formation: 6.6 kJ/mol of formula units

abc: 2.8825 4.7442 10.3887
angles: 90.00 90.00 90.00
Closest atoms and distances in Å follow each position.
Space group Immm (No. 71)
Unique sites:
Li 0.0000 0.0000 0.2505 x4  1 Ag 2.59, 1 Ga 2.60, 6 Li 2.78-2.88
Ga 0.0000 0.0000 0.0000 x2  2 Li 2.60, 4 Ag 2.78, 2 Ga 2.88
Ag 0.0000 0.0000 0.5000 x2  2 Li 2.59, 4 Ga 2.78, 2 Ag 2.88


No. 7
Computed, not measured: an optimized crystal structure of ScInOs2 at the PBE level of DFT.

Summary:
* energy of formation: 107.5 kJ/mol of formula units

abc: 2.9762 2.9762 26.8211
angles: 90.00 90.00 120.00
Closest atoms and distances in Å follow each position.
Space group R-3m (No. 166, hexagonal axes)
Unique sites:
Sc 0.0000 0.0000 0.0000 x3  6 Os 2.76, 6 Sc 2.98
In 0.0000 0.0000 0.5000 x3  6 Os 2.88, 6 In 2.98
Os 0.0000 0.0000 0.2529 x6  3 Sc 2.76, 3 In 2.88, 6 Os 2.98


No. 8
Computed, not measured: an optimized crystal structure of Nd6Dy3Tm2 at the PBE level of DFT.

Summary:
* distance to the lowest polymorph of the same formula: 0.0 kJ per mole of atoms
* energy of formation: 86.1 kJ/mol of formula units

abc: 6.1393 6.8082 9.8429
angles: 89.28 89.28 63.90
Closest atoms and distances in Å follow each position.
Space group P-1 (No. 2)
Unique sites:
Nd 0.1021 0.3931 0.3167 x2  3 Dy 3.39-3.68, 2 Tm 3.49-3.57, 4 Nd 3.50-3.73
Nd 0.2112 0.2255 0.9528 x2  4 Dy 3.55-3.61, 7 Nd 3.55-3.73, 1 Tm 3.65
Nd 0.2505 0.8539 0.2263 x2  2 Tm 3.39-3.74, 4 Dy 3.48-3.74, 5 Nd 3.50-3.73
Dy 0.3415 0.6801 0.8668 x2  1 Tm 3.49, 9 Nd 3.50-3.74, 2 Dy 3.53-3.80
Dy 0.5000 0.5000 0.5000 x1  4 Nd 3.39-3.48, 2 Tm 3.51
Tm 0.2677 0.0482 0.6006 x2  1 Tm 3.28, 4 Nd 3.39-3.65, 2 Dy 3.49-3.51


No. 9
Computed, not measured: an optimized crystal structure of Co2MoP at the PBE level of DFT.

Summary:
* energy of formation: -33.3 kJ/mol of formula units

abc: 3.6404 3.6404 7.1523
angles: 90.00 90.00 90.00
Closest atoms and distances in Å follow each position.
Space group I-4m2 (No. 119)
Unique sites:
Co 0.0000 0.0000 0.0000 x2  4 Mo 2.55, 4 Co 2.55, 4 P 2.57
Co 0.0000 0.5000 0.2500 x2  4 Co 2.55, 4 P 2.55, 4 Mo 2.57
Mo 0.0000 0.5000 0.7500 x2  8 Co 2.55-2.57, 4 P 2.55
P 0.0000 0.0000 0.5000 x2  4 Mo 2.55, 8 Co 2.55-2.57


No. 10
Computed, not measured: an optimized crystal structure of PmSm5Pb6 at the PBE level of DFT.

Summary:
* distance to the lowest polymorph of the same formula: 0.0 kJ per mole of atoms
* energy of formation: -578.4 kJ/mol of formula units

abc: 5.0204 9.1414 8.0564
angles: 90.00 107.58 90.00
Closest atoms and distances in Å follow each position.
Space group P2/m (No. 10)
Unique sites:
Pm 0.0000 0.0000 0.0000 x1  8 Pb 3.40-3.44, 4 Sm 3.57-3.61
Sm 0.0000 0.5000 0.0000 x1  8 Pb 3.39-3.43, 4 Sm 3.57-3.60
Sm 0.3331 0.0000 0.6662 x2  8 Pb 3.40-3.44, 2 Sm 3.56-3.60, 2 Pm 3.57-3.61
Sm 0.3333 0.5000 0.6666 x2  8 Pb 3.39-3.43, 4 Sm 3.57-3.60
Pb 0.1669 0.2503 0.3337 x4  7 Sm 3.39-3.43, 1 Pm 3.44, 4 Pb 3.56-3.61
Pb 0.5000 0.2504 0.0000 x2  6 Sm 3.39-3.44, 2 Pm 3.40, 4 Pb 3.57-3.61


No. 11
Computed, not measured: an optimized crystal structure of TaCr2As at the PBE level of DFT.

Summary:
* energy of formation: 228.8 kJ/mol of formula units

abc: 7.0191 7.0191 5.2487
angles: 90.00 90.00 90.00
Closest atoms and distances in Å follow each position.
Space group I-42d (No. 122)
Unique sites:
Ta 0.0000 0.0000 0.0000 x4  2 As 2.62, 4 Cr 2.76
Cr 0.2116 0.2500 0.6250 x8  2 As 2.39
As 0.0000 0.0000 0.5000 x4  4 Cr 2.39, 2 Ta 2.62


No. 12
Computed, not measured: an optimized crystal structure of LiCaGe2 at the PBE level of DFT.

Summary:
* distance to the lowest polymorph of the same formula: 31.2 kJ per mole of atoms
* energy of formation: -73.5 kJ/mol of formula units

abc: 4.6060 4.6060 17.7910
angles: 90.00 90.00 90.00
Closest atoms and distances in Å follow each position.
Space group I-42d (No. 122)
Unique sites:
Li 0.0000 0.0000 0.0000 x4  4 Ge 2.58
Ca 0.0000 0.0000 0.5000 x4  4 Ge 3.01, 4 Li 3.26
Ge 0.1378 0.2500 0.1250 x8  2 Li 2.58, 2 Ge 2.63


No. 13
Computed, not measured: an optimized crystal structure of UCo3Ni2 at the PBE level of DFT.

Summary:
* energy of formation: 12.4 kJ/mol of formula units

abc: 4.9732 12.4057 5.0815
angles: 90.00 94.82 90.00
Closest atoms and distances in Å follow each position.
Space group C2/c (No. 15)
Unique sites:
U 0.0000 0.1664 0.2500 x4  6 Co 2.44-2.57
Co 0.0000 0.3462 0.7500 x4  4 Co 2.42-2.52, 4 Ni 2.49-2.70, 2 U 2.49
Co 0.2450 0.1696 0.8238 x8  2 Ni 2.35-2.58, 3 Co 2.42-2.52, 2 U 2.44-2.57
Ni 0.2269 0.4876 0.4301 x8  3 Co 2.35-2.58, 3 Ni 2.44-2.56


No. 14
Computed, not measured: an optimized crystal structure of Sr2Cd5Sn4 at the PBE level of DFT.

Summary:
* energy of formation: -164.7 kJ/mol of formula units

abc: 6.4412 10.9052 18.5996
angles: 90.00 90.00 90.00
Closest atoms and distances in Å follow each position.
Space group Fmmm (No. 69)
Unique sites:
Sr 0.0000 0.0000 0.1258 x8  6 Sn 3.57-3.92, 10 Cd 3.92-3.98
Cd 0.0000 0.0000 0.5000 x4  4 Sn 2.97, 4 Cd 3.17
Cd 0.2500 0.2500 0.0000 x8  4 Cd 3.17-3.22, 4 Sn 3.24
Cd 0.2500 0.2500 0.2500 x8  4 Sn 2.91, 2 Cd 3.22
Sn 0.0000 0.1409 0.3632 x16  5 Cd 2.91-3.24, 1 Sn 3.07


No. 15
Computed, not measured: an optimized crystal structure of Pm6SiS2Br3 at the PBE level of DFT.

Summary:
* E_form (uncorrected): -1433.2 meV per atom

abc: 18.7751 4.1904 8.5577
angles: 90.00 108.12 90.00
Closest atoms and distances in Å follow each position.
Space group C2/m (No. 12)
Unique sites:
Pm 0.0128 0.0000 0.2303 x4  1 S 2.78, 2 Si 2.84
Pm 0.1582 0.5000 0.1162 x4  2 S 2.78, 1 Si 2.82
Pm 0.1772 0.5000 0.5515 x4  3 S 2.75-2.76
Si 0.0000 0.5000 0.0000 x2  6 Pm 2.82-2.84
S 0.1686 0.0000 0.3356 x4  6 Pm 2.75-2.78
Br 0.0000 0.5000 0.5000 x2  6 Pm 3.18-3.22
Br 0.1644 0.0000 0.8330 x4  6 Pm 3.20-3.26


No. 16
Computed, not measured: an optimized crystal structure of Rh2IO at the PBE level of DFT.

Summary:
* distance to the lowest polymorph of the same formula: 0.0 kJ per mole of atoms
* E_form (uncorrected): 56.6 meV per atom

abc: 4.8882 4.8882 12.4486
angles: 90.00 90.00 90.00
Closest atoms and distances in Å follow each position.
Space group I-42d (No. 122)
Unique sites:
Rh 0.1091 0.2500 0.1250 x8  2 O 2.05
I 0.0000 0.0000 0.5000 x4  4 Rh 2.75
O 0.0000 0.0000 0.0000 x4  4 Rh 2.05


No. 17
Computed, not measured: an optimized crystal structure of In2PbBr8 at the PBE level of DFT.

Summary:
* distance to the lowest polymorph of the same formula: 0.0 kJ per mole of atoms
* E_form (uncorrected): -828.2 meV per atom

abc: 19.6754 9.6498 13.3704
angles: 90.00 131.15 90.00
Closest atoms and distances in Å follow each position.
Space group C2/c (No. 15)
Unique sites:
In 0.0927 0.2359 0.0429 x8  4 Br 2.48-2.60
Pb 0.0000 0.4946 0.2500 x4  6 Br 3.04-3.12
Br 0.0709 0.2880 0.6742 x8  1 In 2.60
Br 0.1031 0.2536 0.2445 x8  1 In 2.57
Br 0.1508 0.0080 0.0430 x8  1 In 2.48
Br 0.1709 0.4485 0.0383 x8  1 In 2.59


No. 18
Computed, not measured: an optimized crystal structure of LiMg2Cr at the PBE level of DFT.

Summary:
* energy of formation: 136.4 kJ/mol of formula units

abc: 3.0479 3.0479 29.9090
angles: 90.00 90.00 120.00
Closest atoms and distances in Å follow each position.
Space group R3m (No. 160, hexagonal axes)
Unique sites:
Li 0.0000 0.0000 0.0000 x3  3 Cr 2.90, 6 Li 3.05, 3 Mg 3.09
Mg 0.0000 0.0000 0.5108 x3  3 Cr 2.94, 9 Mg 3.05-3.28
Mg 0.0000 0.0000 0.7517 x3  9 Mg 3.05-3.28, 3 Li 3.09
Cr 0.0000 0.0000 0.2561 x3  3 Li 2.90, 3 Mg 2.94, 6 Cr 3.05


No. 19
Computed, not measured: an optimized crystal structure of AlSiOs at the PBE level of DFT.

Summary:
* E_form (uncorrected): -4.8 meV per atom

abc: 5.7023 5.7023 5.7023
angles: 90.00 90.00 90.00
Closest atoms and distances in Å follow each position.
Space group F-43m (No. 216)
Unique sites:
Al 0.0000 0.0000 0.0000 x4  4 Si 2.47
Si 0.2500 0.2500 0.2500 x4  4 Os 2.47, 4 Al 2.47
Os 0.0000 0.0000 0.5000 x4  4 Si 2.47


No. 20
Computed, not measured: an optimized crystal structure of BaLiCa at the PBE level of DFT.

Summary:
* distance to the lowest polymorph of the same formula: 7.5 kJ per mole of atoms
* energy of formation: 31.4 kJ/mol of formula units

abc: 6.0786 6.0786 4.1386
angles: 90.00 90.00 120.00
Closest atoms and distances in Å follow each position.
Space group P3m1 (No. 156)
Unique sites:
Ba 0.0000 0.0000 0.0000 x1  6 Li 4.05-4.10, 6 Ca 4.06-4.08, 2 Ba 4.14
Li 0.3333 0.6667 0.5104 x1  3 Ca 3.51
Ca 0.6667 0.3333 0.4953 x1  3 Li 3.51


Computed calculated volume (Å³ per cell) in order:
1197.2 852.2 125.2 90.2 97.1 142.1 205.8 369.4 94.8 352.5 258.6 377.4 312.4 1306.5 639.9 297.4 1911.5 240.6 185.4 132.4
Computed total moment (μB per cell) in order:
8.826 0.000 1.564 6.190 0.000 0.000 0.000 0.000 0.002 0.007 16.003 0.000 6.706 0.000 0.000 0.000 0.000 11.854 0.000 0.000